Entry 1:
Entry from Alexandria: KBa4Ru after structural relaxation (GGA-PBE).

VASP energy: -12.188 eV for the cell shown
symmetry: F-43m, No. 216

Cell and atoms, written as extended XYZ:
```
6
Lattice="0.000 5.311 5.311 5.311 0.000 5.311 5.311 5.311 0.000" Properties=species:S:1:pos:R:3 pbc="T T T"
K 0.000 0.000 0.000
Ba 4.006 4.006 4.006
Ba 6.616 6.616 4.006
Ba 6.616 4.006 6.616
Ba 4.006 6.616 6.616
Ru 7.966 7.966 7.966
```

=====

Entry 2:
Entry from Alexandria: KBaRu2 after structural relaxation (GGA-PBE).

symmetry: C2/m, No. 12
excess energy over the best structure of this formula in the dataset: 872.0 meV per atom

Cell and atoms, written as extended XYZ:
```
4
Lattice="2.788 -5.097 0.000 2.788 5.097 0.000 -0.031 0.000 3.306" Properties=species:S:1:pos:R:3 pbc="T T T"
K 0.000 0.000 0.000
Ba 2.788 0.000 0.000
Ru 1.379 2.549 1.653
Ru 1.379 -2.549 1.653
```

=====

Entry 3:
Entry from Alexandria: KBa2Ru after structural relaxation (GGA-PBE).

symmetry: Pm, No. 6
excess energy over the best structure of this formula in the dataset: 144.9 meV per atom

Cell and atoms, written as extended XYZ:
```
4
Lattice="5.505 0.000 0.000 0.000 4.780 0.000 -2.749 0.000 7.712" Properties=species:S:1:pos:R:3 pbc="T T T"
K 0.000 0.000 0.000
Ba 0.005 0.000 4.275
Ba 2.750 2.390 1.959
Ru 0.018 2.390 2.755
```

=====

Entry 4:
Entry from Alexandria: K2BaRu after structural relaxation (GGA-PBE).

symmetry: Cm, No. 8
excess energy over the best structure of this formula in the dataset: 31.2 meV per atom

Cell and atoms, written as extended XYZ:
```
4
Lattice="4.995 -1.900 0.000 4.995 1.900 0.000 -2.667 0.000 9.687" Properties=species:S:1:pos:R:3 pbc="T T T"
K 0.000 0.000 0.000
K -0.017 0.000 5.917
Ba 7.416 0.000 2.957
Ru 4.634 0.000 2.956
```

=====

Entry 5:
Entry from Alexandria: KBa2Ru after structural relaxation (GGA-PBE).

symmetry: F-43m, No. 216
excess energy over the best structure of this formula in the dataset: 464.3 meV per atom

Cell and atoms, written as extended XYZ:
```
4
Lattice="0.000 4.082 4.082 4.082 0.000 4.082 4.082 4.082 0.000" Properties=species:S:1:pos:R:3 pbc="T T T"
K 0.000 0.000 0.000
Ba 2.041 2.041 2.041
Ba 4.082 4.082 4.082
Ru 6.122 6.122 6.122
```

=====

Entry 6:
Entry from Alexandria: KBaRu2 after structural relaxation (GGA-PBE).

symmetry: Cmm2, No. 35
excess energy over the best structure of this formula in the dataset: 201.1 meV per atom

Cell and atoms, written as extended XYZ:
```
4
Lattice="2.384 -2.625 0.000 2.384 2.625 0.000 0.000 0.000 9.923" Properties=species:S:1:pos:R:3 pbc="T T T"
K 0.000 0.000 0.000
Ba 2.384 0.000 5.658
Ru 0.000 0.000 3.188
Ru 2.384 0.000 2.731
```

=====

Entry 7:
Entry from Alexandria: KBaRu2 after structural relaxation (GGA-PBE).

symmetry: P4/mmm, No. 123
excess energy over the best structure of this formula in the dataset: 822.2 meV per atom

Cell and atoms, written as extended XYZ:
```
4
Lattice="4.276 0.000 0.000 0.000 4.276 0.000 0.000 0.000 5.158" Properties=species:S:1:pos:R:3 pbc="T T T"
K 0.000 0.000 0.000
Ba 2.138 2.138 0.000
Ru 0.000 2.138 2.579
Ru 2.138 0.000 2.579
```

=====

Entry 8:
Entry from Alexandria: K2BaRu after structural relaxation (GGA-PBE).

symmetry: Pmmm, No. 47
excess energy over the best structure of this formula in the dataset: 390.8 meV per atom

Cell and atoms, written as extended XYZ:
```
4
Lattice="3.727 0.000 0.000 0.000 6.108 0.000 0.000 0.000 6.737" Properties=species:S:1:pos:R:3 pbc="T T T"
K 0.000 0.000 1.472
K 0.000 0.000 5.264
Ba 1.863 3.054 3.368
Ru 1.863 3.054 0.000
```

=====

Entry 9:
Entry from Alexandria: KBaRu2 after structural relaxation (GGA-PBE).

symmetry: P2/m, No. 10
excess energy over the best structure of this formula in the dataset: 597.6 meV per atom

Cell and atoms, written as extended XYZ:
```
4
Lattice="3.153 0.000 0.000 0.000 5.273 0.000 -0.114 0.000 7.291" Properties=species:S:1:pos:R:3 pbc="T T T"
K 0.000 0.000 0.000
Ba -0.057 0.000 3.645
Ru 1.518 2.636 2.512
Ru 1.520 2.636 4.779
```

=====

Entry 10:
Entry from Alexandria: KBaRu2 after structural relaxation (GGA-PBE).

symmetry: Fm-3m, No. 225
excess energy over the best structure of this formula in the dataset: 1052.5 meV per atom

Cell and atoms, written as extended XYZ:
```
4
Lattice="0.000 3.701 3.701 3.701 0.000 3.701 3.701 3.701 0.000" Properties=species:S:1:pos:R:3 pbc="T T T"
K 0.000 0.000 0.000
Ba 3.701 3.701 3.701
Ru 1.851 1.851 1.851
Ru 5.552 5.552 5.552
```

=====

Entry 11:
Entry from Alexandria: KBaRu2 after structural relaxation (GGA-PBE).

symmetry: C2/m, No. 12
excess energy over the best structure of this formula in the dataset: 295.5 meV per atom

Cell and atoms, written as extended XYZ:
```
4
Lattice="5.869 -2.057 0.000 5.869 2.057 0.000 -4.793 0.000 6.301" Properties=species:S:1:pos:R:3 pbc="T T T"
K 0.000 0.000 0.000
Ba 3.473 0.000 3.150
Ru 0.299 0.000 3.642
Ru 6.646 0.000 2.658
```

=====

Entry 12:
Entry from Alexandria: KBaRu2 after structural relaxation (GGA-PBE).

symmetry: P4/mmm, No. 123
excess energy over the best structure of this formula in the dataset: 873.5 meV per atom

Cell and atoms, written as extended XYZ:
```
4
Lattice="3.117 0.000 0.000 0.000 3.117 0.000 0.000 0.000 10.321" Properties=species:S:1:pos:R:3 pbc="T T T"
K 0.000 0.000 0.000
Ba 0.000 0.000 5.161
Ru 1.559 1.559 2.690
Ru 1.559 1.559 7.631
```

=====

Entry 13:
Entry from Alexandria: KBa3Ru after structural relaxation (GGA-PBE).

VASP energy: -14.928 eV for the cell shown
symmetry: Pm-3m, No. 221

Cell and atoms, written as extended XYZ:
```
5
Lattice="6.208 0.000 0.000 0.000 6.208 0.000 0.000 0.000 6.208" Properties=species:S:1:pos:R:3 pbc="T T T"
K 0.000 0.000 0.000
Ba 0.000 3.104 3.104
Ba 3.104 0.000 3.104
Ba 3.104 3.104 0.000
Ru 3.104 3.104 3.104
```

=====

Entry 14:
Entry from Alexandria: K2BaRu2 after structural relaxation (GGA-PBE).

symmetry: P4/mbm, No. 127
excess energy over the best structure of this formula in the dataset: 218.7 meV per atom

Cell and atoms, written as extended XYZ:
```
10
Lattice="9.738 0.000 0.000 0.000 9.738 0.000 0.000 0.000 3.172" Properties=species:S:1:pos:R:3 pbc="T T T"
K 1.893 2.976 0.000
K 2.976 7.845 0.000
K 6.762 1.893 0.000
K 7.845 6.762 0.000
Ba 0.000 0.000 1.586
Ba 4.869 4.869 1.586
Ru 0.803 5.672 1.586
Ru 4.066 0.803 1.586
Ru 5.672 8.935 1.586
Ru 8.935 4.066 1.586
```

=====

Entry 15:
Entry from Alexandria: KBaRu2 after structural relaxation (GGA-PBE).

symmetry: I4/mmm, No. 139
excess energy over the best structure of this formula in the dataset: 827.6 meV per atom

Cell and atoms, written as extended XYZ:
```
4
Lattice="-2.137 2.137 5.164 2.137 -2.137 5.164 2.137 2.137 -5.164" Properties=species:S:1:pos:R:3 pbc="T T T"
K 0.000 0.000 0.000
Ba 0.000 0.000 5.164
Ru 2.137 0.000 2.582
Ru 0.000 2.137 2.582
```

=====

Entry 16:
Entry from Alexandria: KBaRu2 after structural relaxation (GGA-PBE).

symmetry: P4/mmm, No. 123
excess energy over the best structure of this formula in the dataset: 718.3 meV per atom

Cell and atoms, written as extended XYZ:
```
4
Lattice="4.342 0.000 0.000 0.000 4.342 0.000 0.000 0.000 7.222" Properties=species:S:1:pos:R:3 pbc="T T T"
K 0.000 0.000 0.000
Ba 0.000 0.000 3.611
Ru 2.171 2.171 2.497
Ru 2.171 2.171 4.725
```

=====

Entry 17:
Entry from Alexandria: K2BaRu after structural relaxation (GGA-PBE).

symmetry: I4/mmm, No. 139
excess energy over the best structure of this formula in the dataset: 245.2 meV per atom

Cell and atoms, written as extended XYZ:
```
4
Lattice="-2.443 2.443 6.283 2.443 -2.443 6.283 2.443 2.443 -6.283" Properties=species:S:1:pos:R:3 pbc="T T T"
K 2.443 0.000 3.141
K 0.000 2.443 3.141
Ba 0.000 0.000 0.000
Ru 0.000 0.000 6.283
```

=====

Entry 18:
Entry from Alexandria: K2BaRu after structural relaxation (GGA-PBE).

symmetry: P4/mmm, No. 123
excess energy over the best structure of this formula in the dataset: 423.0 meV per atom

Cell and atoms, written as extended XYZ:
```
4
Lattice="3.620 0.000 0.000 0.000 3.620 0.000 0.000 0.000 12.716" Properties=species:S:1:pos:R:3 pbc="T T T"
K 0.000 0.000 2.284
K 0.000 0.000 10.432
Ba 1.810 1.810 6.358
Ru 1.810 1.810 0.000
```

=====

Entry 19:
Entry from Alexandria: K2BaRu after structural relaxation (GGA-PBE).

symmetry: Immm, No. 71
excess energy over the best structure of this formula in the dataset: 0.0 meV per atom

Cell and atoms, written as extended XYZ:
```
4
Lattice="-1.829 2.440 9.985 1.829 -2.440 9.985 1.829 2.440 -9.985" Properties=species:S:1:pos:R:3 pbc="T T T"
K 0.000 0.000 3.118
K 0.000 0.000 16.851
Ba 0.000 2.440 0.000
Ru 1.829 0.000 0.000
```

=====

Entry 20:
Entry from Alexandria: KBaSr2Ru after structural relaxation (GGA-PBE).

VASP energy: -14.470 eV for the cell shown
symmetry: P4/mmm, No. 123

Cell and atoms, written as extended XYZ:
```
5
Lattice="6.146 0.000 0.000 0.000 6.146 0.000 0.000 0.000 5.958" Properties=species:S:1:pos:R:3 pbc="T T T"
K 0.000 0.000 0.000
Ba 3.073 3.073 0.000
Sr 0.000 3.073 2.979
Sr 3.073 0.000 2.979
Ru 3.073 3.073 2.979
```

=====

Entry 21:
Entry from Alexandria: K2BaZnRu after structural relaxation (GGA-PBE).

VASP energy: -9.373 eV for the cell shown
symmetry: P4/mmm, No. 123

Cell and atoms, written as extended XYZ:
```
5
Lattice="5.984 0.000 0.000 0.000 5.984 0.000 0.000 0.000 6.508" Properties=species:S:1:pos:R:3 pbc="T T T"
K 0.000 2.992 0.000
K 2.992 0.000 0.000
Ba 0.000 0.000 3.254
Zn 0.000 0.000 0.000
Ru 2.992 2.992 3.254
```

=====

Entry 22:
Entry from Alexandria: KBa3S after structural relaxation (GGA-PBE).

formation energy (no corrections): 0.61 eV per atom
symmetry: Pm-3m, No. 221
excess energy over the best structure of this formula in the dataset: 1307.6 meV per atom

Cell and atoms, written as extended XYZ:
```
5
Lattice="6.688 0.000 0.000 0.000 6.688 0.000 0.000 0.000 6.688" Properties=species:S:1:pos:R:3 pbc="T T T"
K 0.000 0.000 0.000
Ba 0.000 0.000 3.344
Ba 0.000 3.344 0.000
Ba 3.344 0.000 0.000
S 3.344 3.344 3.344
```

=====

Entry 23:
Entry from Alexandria: K2BaS2 after structural relaxation (GGA-PBE).

formation energy (no corrections): -1.18 eV per atom
symmetry: P4/mbm, No. 127

Cell and atoms, written as extended XYZ:
```
10
Lattice="8.554 0.000 0.000 0.000 8.554 0.000 0.000 0.000 4.472" Properties=species:S:1:pos:R:3 pbc="T T T"
K 1.078 3.198 0.000
K 3.198 7.475 0.000
K 5.355 1.078 0.000
K 7.475 5.355 0.000
Ba 0.000 0.000 2.236
Ba 4.277 4.277 2.236
S 1.565 5.842 2.236
S 2.712 1.565 2.236
S 5.842 6.989 2.236
S 6.989 2.712 2.236
```

=====

Entry 24:
Entry from Alexandria: KBaS3 after structural relaxation (GGA-PBE).

formation energy (no corrections): -0.19 eV per atom
symmetry: Pm-3m, No. 221
excess energy over the best structure of this formula in the dataset: 157.6 meV per atom

Cell and atoms, written as extended XYZ:
```
5
Lattice="5.491 0.000 0.000 0.000 5.491 0.000 0.000 0.000 5.491" Properties=species:S:1:pos:R:3 pbc="T T T"
K 0.000 0.000 0.000
Ba 2.745 2.745 2.745
S 0.000 0.000 2.745
S 0.000 2.745 0.000
S 2.745 0.000 0.000
```

=====

Entry 25:
Entry from Alexandria: KBaS2 after structural relaxation (GGA-PBE).

formation energy (no corrections): -1.03 eV per atom
symmetry: I-42d, No. 122

Cell and atoms, written as extended XYZ:
```
8
Lattice="-3.444 3.444 7.678 3.444 -3.444 7.678 3.444 3.444 -7.678" Properties=species:S:1:pos:R:3 pbc="T T T"
K 0.000 0.000 0.000
K 0.000 3.444 3.839
Ba 3.444 0.000 3.839
Ba 0.000 0.000 7.678
S 1.722 -1.600 5.758
S 1.843 1.722 1.919
S 1.722 5.044 -1.919
S 1.600 1.722 9.597
```

=====

Entry 26:
Entry from Alexandria: K2Ba2S after structural relaxation (GGA-PBE).

formation energy (no corrections): -0.56 eV per atom
symmetry: P4/mbm, No. 127
excess energy over the best structure of this formula in the dataset: 0.0 meV per atom

Cell and atoms, written as extended XYZ:
```
10
Lattice="8.518 0.000 0.000 0.000 8.518 0.000 0.000 0.000 8.288" Properties=species:S:1:pos:R:3 pbc="T T T"
K 1.426 2.833 0.000
K 2.833 7.092 0.000
K 5.685 1.426 0.000
K 7.092 5.685 0.000
Ba 1.653 5.912 4.144
Ba 2.606 1.653 4.144
Ba 5.912 6.865 4.144
Ba 6.865 2.606 4.144
S 0.000 0.000 4.144
S 4.259 4.259 4.144
```

=====

Entry 27:
Entry from Alexandria: KBa3S after structural relaxation (GGA-PBE).

formation energy (no corrections): -0.70 eV per atom
symmetry: Pm-3m, No. 221
excess energy over the best structure of this formula in the dataset: 0.0 meV per atom

Cell and atoms, written as extended XYZ:
```
5
Lattice="6.434 0.000 0.000 0.000 6.434 0.000 0.000 0.000 6.434" Properties=species:S:1:pos:R:3 pbc="T T T"
K 0.000 0.000 0.000
Ba 0.000 3.217 3.217
Ba 3.217 0.000 3.217
Ba 3.217 3.217 0.000
S 3.217 3.217 3.217
```